Version i
A plane-wave DFT calculation with PBE was carried out for a geometry-optimized CsLiRuPtI structure.

**Theoretical density**: 7357 kg/m3

Unit cell a=9.7234 b=5.2082 c=5.2089 alpha=90.00 beta=105.56 gamma=90.00
Last column: nearest neighbours and their distance in Å.
Fractional coordinates of all 10 atoms:
1 Cs 0.4236 0.0000 0.7776  1 Ru 3.37, 4 Cs 3.68, 3 Pt 3.75-3.76
2 Cs 0.4236 0.5000 0.2776  1 Ru 3.37, 4 Cs 3.68, 3 Pt 3.75-3.76
3 Ru 0.0638 0.0000 0.6007  4 Pt 2.68-2.69
4 Ru 0.0638 0.5000 0.1007  4 Pt 2.68-2.69
5 I 0.7368 0.0000 0.4346  4 Li 2.88, 1 Ru 3.06
6 I 0.7368 0.5000 0.9346  4 Li 2.88, 1 Ru 3.06
7 Pt 0.1333 0.0000 0.1353  1 Li 2.49, 4 Ru 2.68-2.69
8 Pt 0.1333 0.5000 0.6353  1 Li 2.49, 4 Ru 2.68-2.69
9 Li 0.8673 0.0000 0.0002  1 Pt 2.49
10 Li 0.8673 0.5000 0.5002  1 Pt 2.49


Version ii
A plane-wave DFT calculation with PBE was carried out for a geometry-optimized CsLiRuPtI structure.

**Theoretical density**: 6135 kg/m3

Unit cell a=4.4384 b=4.4387 c=9.2749 alpha=76.42 beta=76.40 gamma=60.04
Last column: nearest neighbours and their distance in Å.
Fractional coordinates of all 5 atoms:
1 Cs 0.7298 0.1064 0.5982  1 Ru 3.63, 3 I 3.71, 3 Li 3.89-3.91, 3 Pt 4.03-4.05
2 Li 0.2866 0.6624 0.9274  3 Pt 2.57, 3 Ru 2.65
3 Ru 0.5946 0.9705 0.0043  3 Pt 2.61, 1 I 2.62, 3 Li 2.65
4 Pt 0.9465 0.3224 0.9477  3 Li 2.57, 3 Ru 2.61
5 I 0.4955 0.8717 0.2975  1 Ru 2.62


Version iii
A plane-wave DFT calculation with PBE was carried out for a geometry-optimized CsLiRuPtI structure.

**Theoretical density**: 7017 kg/m3

Unit cell a=3.7155 b=3.7348 c=19.5493 alpha=90.00 beta=100.87 gamma=90.00
Last column: nearest neighbours and their distance in Å.
Fractional coordinates of all 10 atoms:
1 Cs 0.0172 0.0000 0.7838  2 Ru 3.65, 2 Pt 3.68-3.70, 4 Cs 3.72-3.73, 4 I 3.79
2 Cs 0.0172 0.5000 0.2838  2 Ru 3.65, 2 Pt 3.68-3.70, 4 Cs 3.72-3.73, 4 I 3.79
3 Li 0.8009 0.0000 0.5649  2 Pt 2.89, 2 Ru 2.93, 4 I 3.02
4 Li 0.8009 0.5000 0.0649  2 Pt 2.89, 2 Ru 2.93, 4 I 3.02
5 Ru 0.1846 0.0000 0.4470  4 Pt 2.63, 2 Li 2.93
6 Ru 0.1846 0.5000 0.9470  4 Pt 2.63, 2 Li 2.93
7 Pt 0.6874 0.0000 0.9499  4 Ru 2.63, 2 Li 2.89
8 Pt 0.6874 0.5000 0.4499  4 Ru 2.63, 2 Li 2.89
9 I 0.3765 0.0000 0.1420  4 Li 3.02
10 I 0.3765 0.5000 0.6420  4 Li 3.02


The structure with the least stability is version ii.


Version i
A plane-wave DFT calculation with PBE was carried out for a geometry-optimized CsLiRuPtI structure.

**Theoretical density**: 6382 kg/m3

Unit cell a=4.7323 b=4.5813 c=13.5121 alpha=90.00 beta=90.00 gamma=90.00
Last column: nearest neighbours and their distance in Å.
Fractional coordinates of all 10 atoms:
1 Cs 0.0000 0.5000 0.6217  2 Li 3.77, 2 Ru 3.95, 4 Pt 3.98, 4 I 4.02
2 Cs 0.5000 0.0000 0.1217  2 Li 3.77, 2 Ru 3.95, 4 Pt 3.98, 4 I 4.02
3 Li 0.0000 0.0000 0.3998  2 Pt 2.49, 2 I 2.71
4 Li 0.5000 0.5000 0.8998  2 Pt 2.49, 2 I 2.71
5 Ru 0.0000 0.0000 0.8880  2 Pt 2.47, 2 I 2.70
6 Ru 0.5000 0.5000 0.3880  2 Pt 2.47, 2 I 2.70
7 Pt 0.0000 0.5000 0.9561  2 Ru 2.47, 2 Li 2.49
8 Pt 0.5000 0.0000 0.4561  2 Ru 2.47, 2 Li 2.49
9 I 0.0000 0.5000 0.2925  2 Ru 2.70, 2 Li 2.71
10 I 0.5000 0.0000 0.7925  2 Ru 2.70, 2 Li 2.71


Version ii
A plane-wave DFT calculation with PBE was carried out for a geometry-optimized CsLiRuPtI structure.

**Theoretical density**: 5964 kg/m3

Unit cell a=4.9755 b=4.6755 c=13.4744 alpha=90.00 beta=90.00 gamma=90.00
Last column: nearest neighbours and their distance in Å.
Fractional coordinates of all 10 atoms:
1 Cs 0.0000 0.0000 0.7322  3 Ru 3.62-3.89, 3 Pt 3.67-3.91, 4 I 4.00
2 Cs 0.0000 0.5000 0.2322  3 Ru 3.62-3.89, 3 Pt 3.67-3.91, 4 I 4.00
3 Li 0.5000 0.0000 0.0069  2 Pt 2.50
4 Li 0.5000 0.5000 0.5069  2 Pt 2.50
5 Ru 0.0000 0.0000 0.4633  2 Pt 2.47, 2 I 2.69
6 Ru 0.0000 0.5000 0.9633  2 Pt 2.47, 2 I 2.69
7 Pt 0.0000 0.0000 0.0226  2 Ru 2.47, 2 Li 2.50
8 Pt 0.0000 0.5000 0.5226  2 Ru 2.47, 2 Li 2.50
9 I 0.5000 0.0000 0.3874  2 Ru 2.69, 2 Li 2.84
10 I 0.5000 0.5000 0.8874  2 Ru 2.69, 2 Li 2.84


The structure with the least stability is version ii.


Version i
A plane-wave DFT calculation with PBE was carried out for a geometry-optimized CsLiSbI structure.

**Theoretical density**: 3555 kg/m3

Unit cell a=5.1490 b=6.0192 c=6.2090 alpha=94.65 beta=107.34 gamma=95.91
Last column: nearest neighbours and their distance in Å.
Fractional coordinates of all 4 atoms:
1 Cs 0.2864 0.4403 0.6204  2 Li 3.89-3.98, 3 I 3.92-4.05, 3 Sb 4.04-4.22
2 Li 0.3505 0.9708 0.0435  2 Sb 2.69-2.72, 1 I 2.76
3 Sb 0.8149 0.0232 0.9190  2 Li 2.69-2.72
4 I 0.7564 0.8909 0.4229  1 Li 2.76, 1 Sb 3.04


Version ii
A plane-wave DFT calculation with PBE was carried out for a geometry-optimized CsLiSbI structure.

**Theoretical density**: 3693 kg/m3

Unit cell a=6.1081 b=4.0895 c=6.9977 alpha=90.00 beta=92.15 gamma=90.00
Last column: nearest neighbours and their distance in Å.
Fractional coordinates of all 4 atoms:
1 Cs 0.6622 0.0000 0.6300  4 Sb 3.92-4.02, 2 Cs 4.09, 4 I 4.09-4.14, 1 Li 4.17
2 Li 0.0915 0.0000 0.1075  2 I 2.74, 2 Sb 2.82
3 Sb 0.1825 0.5000 0.8450  2 Li 2.82
4 I 0.1561 0.5000 0.3648  2 Li 2.74


Version iii
A plane-wave DFT calculation with PBE was carried out for a geometry-optimized CsLiSbI structure.

**Theoretical density**: 3698 kg/m3

Unit cell a=7.4383 b=5.2268 c=9.0768 alpha=90.00 beta=98.57 gamma=90.00
Last column: nearest neighbours and their distance in Å.
Fractional coordinates of all 8 atoms:
1 Cs 0.7113 0.0000 0.1278  3 Sb 3.71-3.91, 3 I 3.85-3.87, 3 Li 4.12-4.14
2 Cs 0.7113 0.5000 0.6278  3 Sb 3.71-3.91, 3 I 3.85-3.87, 3 Li 4.12-4.14
3 Li 0.3284 0.0000 0.7460  1 I 2.86, 2 Sb 2.98
4 Li 0.3284 0.5000 0.2460  1 I 2.86, 2 Sb 2.98
5 Sb 0.3896 0.0000 0.4027  1 I 2.90, 3 Li 2.98-3.22
6 Sb 0.3896 0.5000 0.9027  1 I 2.90, 3 Li 2.98-3.22
7 I 0.0372 0.0000 0.5022  1 Li 2.86, 1 Sb 2.90
8 I 0.0372 0.5000 0.0022  1 Li 2.86, 1 Sb 2.90


The structure with the least stability is version iii.


Version i
A plane-wave DFT calculation with PBE was carried out for a geometry-optimized CsLiSbI structure.

**Theoretical density**: 3696 kg/m3

Unit cell a=5.4906 b=5.6711 c=6.0527 alpha=90.00 beta=112.16 gamma=90.00
Last column: nearest neighbours and their distance in Å.
Fractional coordinates of all 4 atoms:
1 Cs 0.3689 0.5000 0.5012  4 I 3.94-3.95, 4 Sb 4.15, 4 Li 4.29-4.30
2 Sb 0.3671 0.0000 0.0008  2 Li 2.75
3 I 0.8682 0.0000 0.5007  2 Li 3.01-3.04, 2 Sb 3.23
4 Li 0.8681 0.0000 0.0031  2 Sb 2.75, 2 I 3.01-3.04


Version ii
A plane-wave DFT calculation with PBE was carried out for a geometry-optimized CsLiSbI structure.

**Theoretical density**: 3439 kg/m3

Unit cell a=5.2292 b=6.1607 c=6.6333 alpha=105.90 beta=113.05 gamma=90.24
Last column: nearest neighbours and their distance in Å.
Fractional coordinates of all 4 atoms:
1 Cs 0.2551 0.7374 0.3257  1 Li 3.80, 3 I 3.83-3.91, 3 Sb 3.97-4.24
2 Li 0.9501 0.3378 0.7149  2 Sb 2.74
3 Sb 0.5172 0.4138 0.8490  2 Li 2.74, 1 I 3.03
4 I 0.5855 0.9775 0.9820  2 Sb 3.03-3.32


Version iii
A plane-wave DFT calculation with PBE was carried out for a geometry-optimized CsLiSbI structure.

**Theoretical density**: 4493 kg/m3

Unit cell a=3.8457 b=3.8457 c=19.4170 alpha=90.00 beta=90.00 gamma=90.00
Last column: nearest neighbours and their distance in Å.
Fractional coordinates of all 8 atoms:
1 Cs 0.0000 0.0000 0.8817  4 Cs 3.85, 4 Sb 3.93, 4 I 3.96, 1 Li 4.07
2 Cs 0.5000 0.5000 0.3817  4 Cs 3.85, 4 Sb 3.93, 4 I 3.96, 1 Li 4.07
3 Li 0.0000 0.0000 0.6719  1 Sb 2.79, 4 I 2.97
4 Li 0.5000 0.5000 0.1719  1 Sb 2.79, 4 I 2.97
5 Sb 0.0000 0.0000 0.5282  1 Li 2.79
6 Sb 0.5000 0.5000 0.0282  1 Li 2.79
7 I 0.0000 0.0000 0.2338  4 Li 2.97
8 I 0.5000 0.5000 0.7338  4 Li 2.97


The structure with the least stability is version ii.


Version i
A plane-wave DFT calculation with PBE was carried out for a geometry-optimized CsLiSbI structure.

**Theoretical density**: 3545 kg/m3

Unit cell a=6.7747 b=3.6704 c=7.3426 alpha=90.00 beta=94.73 gamma=90.00
Last column: nearest neighbours and their distance in Å.
Fractional coordinates of all 4 atoms:
1 Cs 0.4669 0.5000 0.4884  2 Cs 3.67, 1 Li 3.79, 4 I 3.85-3.98, 2 Sb 4.02
2 Li 0.8440 0.5000 0.1355  2 I 2.72
3 Sb 0.5116 0.0000 0.9774  2 Li 3.06
4 I 0.9693 0.0000 0.3928  2 Li 2.72


Version ii
A plane-wave DFT calculation with PBE was carried out for a geometry-optimized CsLiSbI structure.

**Theoretical density**: 4292 kg/m3

Unit cell a=3.9260 b=3.9779 c=10.0159 alpha=101.48 beta=101.09 gamma=90.06
Last column: nearest neighbours and their distance in Å.
Fractional coordinates of all 4 atoms:
1 Cs 0.4623 0.9159 0.7627  4 I 3.78, 4 Cs 3.93-3.98, 4 Sb 4.07
2 Li 0.1979 0.1455 0.2209  2 I 2.72, 2 Sb 2.99-3.00
3 Sb 0.8116 0.2615 0.4554  2 Li 2.99-3.00
4 I 0.0920 0.5487 0.0276  2 Li 2.72


The structure with the least stability is version i.